<P>
Entry from Alexandria: crystalline TbEr7Tm2 at its relaxed geometry (PBE).

Lattice parameters (Å, degrees): 5.3525 8.7587 9.3208 117.97 73.32 127.72
Sites, in units of the cell vectors:
Er 0.9995 0.7995 0.6002
Er 0.7508 0.1404 0.7796
Er 0.5000 0.5000 0.0000
Er 0.0005 0.2005 0.3998
Er 0.7508 0.3612 0.2204
Er 0.2492 0.8596 0.2204
Er 0.2492 0.6388 0.7796
Tb 0.0000 0.0000 0.0000
Tm 0.4996 0.3001 0.6014
Tm 0.5004 0.6999 0.3986

<Q>
Entry from Alexandria: crystalline TbEr7Tm2 at its relaxed geometry (PBE).

Lattice parameters (Å, degrees): 5.2934 9.3213 9.3213 124.70 90.00 90.00
Sites, in units of the cell vectors:
Er 0.5000 0.9343 0.7101
Er 0.5000 0.7101 0.9343
Er 0.5000 0.5000 0.5000
Er 0.0000 0.2023 0.7977
Er 0.5000 0.0657 0.2899
Er 0.5000 0.2899 0.0657
Er 0.0000 0.7977 0.2023
Tm 0.5000 0.2985 0.7015
Tm 0.5000 0.7015 0.2985
Tb 0.0000 0.0000 0.0000

Energy ordering: <P> at the bottom, the next structure 661 meV per atom above.